[1]
Below is SrMg3Rh at its PBEsol-relaxed geometry, with properties calculated at the SCAN level.

Uncorrected energy: -72.553 eV for the cell shown
Space group: No. 221
ΔH_f (0 K): -0.3171 eV/atom

extended XYZ file:
```
5
Lattice="5.029 0.000 0.000 0.000 5.029 0.000 0.000 0.000 5.029" Properties=species:S:1:pos:R:3 pbc="T T T"
Sr 0.000 0.000 0.000
Mg 0.000 2.514 2.514
Mg 2.514 0.000 2.514
Mg 2.514 2.514 0.000
Rh 2.514 2.514 2.514
```


[2]
Below is SrMg2Rh at its PBEsol-relaxed geometry, with properties calculated at the SCAN level.

Uncorrected energy: -67.204 eV for the cell shown
Space group: No. 160
ΔH_f (0 K): -0.3024 eV/atom

extended XYZ file:
```
4
Lattice="2.294 1.324 5.518 -2.294 1.324 5.518 0.000 -2.649 5.518" Properties=species:S:1:pos:R:3 pbc="T T T"
Sr 0.000 0.000 0.000
Mg 0.000 0.000 8.769
Mg 0.000 0.000 13.284
Rh 0.000 0.000 3.128
```


[3]
Below is SrMg2TeRh at its PBEsol-relaxed geometry, with properties calculated at the SCAN level.

Uncorrected energy: -105.870 eV for the cell shown
Space group: No. 123
Formation energy without anion corrections: -0.525 eV/atom

extended XYZ file:
```
5
Lattice="4.902 0.000 0.000 0.000 4.902 0.000 0.000 0.000 5.378" Properties=species:S:1:pos:R:3 pbc="T T T"
Sr 0.000 0.000 0.000
Mg 0.000 2.451 2.689
Mg 2.451 0.000 2.689
Te 2.451 2.451 0.000
Rh 2.451 2.451 2.689
```


[4]
Below is Sr2MgRhW at its PBEsol-relaxed geometry, with properties calculated at the SCAN level.

Uncorrected energy: -148.507 eV for the cell shown
Space group: No. 123
ΔH_f (0 K): 0.8953 eV/atom

extended XYZ file:
```
5
Lattice="5.847 0.000 0.000 0.000 5.847 0.000 0.000 0.000 4.609" Properties=species:S:1:pos:R:3 pbc="T T T"
Sr 0.000 2.923 0.000
Sr 2.923 0.000 0.000
Mg 0.000 0.000 2.305
Rh 2.923 2.923 2.305
W 2.923 2.923 0.000
```


[5]
Below is MgTa2Rh at its PBEsol-relaxed geometry, with properties calculated at the SCAN level.

Uncorrected energy: -172.376 eV for the cell shown
Space group: No. 47
ΔH_f (0 K): -0.1161 eV/atom

extended XYZ file:
```
4
Lattice="3.195 0.000 0.000 0.000 4.377 0.000 0.000 0.000 4.674" Properties=species:S:1:pos:R:3 pbc="T T T"
Mg 0.000 0.000 0.000
Ta 0.000 2.189 2.337
Ta 1.598 0.000 2.337
Rh 1.598 2.189 0.000
```


[6]
Below is MgTaRh2 at its PBEsol-relaxed geometry, with properties calculated at the SCAN level.

Uncorrected energy: -141.547 eV for the cell shown
Space group: No. 65
ΔH_f (0 K): -0.6117 eV/atom

extended XYZ file:
```
4
Lattice="3.034 -3.348 0.000 3.034 3.348 0.000 0.000 0.000 2.973" Properties=species:S:1:pos:R:3 pbc="T T T"
Mg 0.000 0.000 0.000
Ta 3.034 0.000 0.000
Rh 1.517 1.674 1.486
Rh 1.517 -1.674 1.486
```


[7]
Below is MgTaRh2 at its PBEsol-relaxed geometry, with properties calculated at the SCAN level.

Uncorrected energy: -141.709 eV for the cell shown
Space group: No. 47
ΔH_f (0 K): -0.6523 eV/atom

extended XYZ file:
```
4
Lattice="3.040 0.000 0.000 0.000 3.137 0.000 0.000 0.000 6.435" Properties=species:S:1:pos:R:3 pbc="T T T"
Mg 0.000 0.000 0.000
Ta 0.000 0.000 3.217
Rh 1.520 1.568 1.667
Rh 1.520 1.568 4.768
```


[8]
Below is MgTa2Rh at its PBEsol-relaxed geometry, with properties calculated at the SCAN level.

Uncorrected energy: -172.116 eV for the cell shown
Space group: No. 65
ΔH_f (0 K): -0.0510 eV/atom

extended XYZ file:
```
4
Lattice="1.940 -2.064 0.000 1.940 2.064 0.000 0.000 0.000 8.547" Properties=species:S:1:pos:R:3 pbc="T T T"
Mg 0.000 0.000 0.000
Ta 1.940 0.000 2.387
Ta 1.940 0.000 6.160
Rh 0.000 0.000 4.274
```


[9]
Below is MgTa2Rh at its PBEsol-relaxed geometry, with properties calculated at the SCAN level.

Uncorrected energy: -172.199 eV for the cell shown
Space group: No. 12
ΔH_f (0 K): -0.0718 eV/atom

extended XYZ file:
```
4
Lattice="2.685 -4.649 0.000 2.685 4.649 0.000 -0.898 0.000 2.632" Properties=species:S:1:pos:R:3 pbc="T T T"
Mg 0.000 0.000 0.000
Ta 0.893 2.324 1.316
Ta 0.893 -2.324 1.316
Rh 2.685 0.000 0.000
```


[10]
Below is MgTaRh2 at its PBEsol-relaxed geometry, with properties calculated at the SCAN level.

Uncorrected energy: -139.168 eV for the cell shown
Space group: No. 216
ΔH_f (0 K): -0.0170 eV/atom

extended XYZ file:
```
4
Lattice="0.000 3.125 3.125 3.125 0.000 3.125 3.125 3.125 0.000" Properties=species:S:1:pos:R:3 pbc="T T T"
Mg 0.000 0.000 0.000
Ta 1.563 1.563 1.563
Rh 3.125 3.125 3.125
Rh 4.688 4.688 4.688
```


[11]
Below is Tb4MgRh at its PBEsol-relaxed geometry, with properties calculated at the SCAN level.

Uncorrected energy: -914.133 eV for the cell shown
Space group: No. 216
ΔH_f (0 K): -0.4564 eV/atom

extended XYZ file:
```
24
Lattice="0.000 6.771 6.771 6.771 0.000 6.771 6.771 6.771 0.000" Properties=species:S:1:pos:R:3 pbc="T T T"
Tb 3.385 3.385 0.853
Tb 3.385 0.853 3.385
Tb 5.918 3.385 3.385
Tb 6.771 6.771 2.517
Tb 6.771 2.517 6.771
Tb 11.024 6.771 6.771
Tb 8.083 5.458 5.458
Tb 0.853 3.385 3.385
Tb 3.385 5.918 3.385
Tb 3.385 3.385 5.918
Tb 5.458 8.083 5.458
Tb 5.458 5.458 8.083
Tb 8.083 8.083 8.083
Tb 2.517 6.771 6.771
Tb 6.771 11.024 6.771
Tb 6.771 6.771 11.024
Mg 11.238 9.074 9.074
Mg 9.074 11.238 9.074
Mg 9.074 9.074 11.238
Mg 11.238 11.238 11.238
Rh 5.309 5.309 5.309
Rh 8.232 8.232 5.309
Rh 8.232 5.309 8.232
Rh 5.309 8.232 8.232
```


[12]
Below is MgTcRh2 at its PBEsol-relaxed geometry, with properties calculated at the SCAN level.

Uncorrected energy: -108.260 eV for the cell shown
Space group: No. 139
ΔH_f (0 K): -0.1709 eV/atom

extended XYZ file:
```
4
Lattice="-1.974 1.974 3.640 1.974 -1.974 3.640 1.974 1.974 -3.640" Properties=species:S:1:pos:R:3 pbc="T T T"
Mg 0.000 0.000 0.000
Tc 0.000 0.000 3.640
Rh 1.974 0.000 1.820
Rh 0.000 1.974 1.820
```


[13]
Below is MgTc2Rh at its PBEsol-relaxed geometry, with properties calculated at the SCAN level.

Uncorrected energy: -109.025 eV for the cell shown
Space group: No. 139
ΔH_f (0 K): -0.0399 eV/atom

extended XYZ file:
```
4
Lattice="-1.817 1.817 4.307 1.817 -1.817 4.307 1.817 1.817 -4.307" Properties=species:S:1:pos:R:3 pbc="T T T"
Mg 0.000 0.000 0.000
Tc 1.817 0.000 2.153
Tc 0.000 1.817 2.153
Rh 0.000 0.000 4.307
```


[14]
Below is MgTcRh at its PBEsol-relaxed geometry, with properties calculated at the SCAN level.

Uncorrected energy: -73.780 eV for the cell shown
Space group: No. 156
ΔH_f (0 K): 0.0083 eV/atom

extended XYZ file:
```
3
Lattice="2.765 0.000 0.000 -1.383 2.395 0.000 0.000 0.000 6.737" Properties=species:S:1:pos:R:3 pbc="T T T"
Mg 0.000 0.000 0.000
Tc 1.383 0.798 2.409
Rh 0.000 1.596 4.451
```


[15]
Below is Mg2TcRh at its PBEsol-relaxed geometry, with properties calculated at the SCAN level.

Uncorrected energy: -78.874 eV for the cell shown
Space group: No. 216
ΔH_f (0 K): -0.0239 eV/atom

extended XYZ file:
```
4
Lattice="0.000 3.133 3.133 3.133 0.000 3.133 3.133 3.133 0.000" Properties=species:S:1:pos:R:3 pbc="T T T"
Mg 0.000 0.000 0.000
Mg 1.566 1.566 1.566
Tc 3.133 3.133 3.133
Rh 4.699 4.699 4.699
```


[16]
Below is MgTcRh at its PBEsol-relaxed geometry, with properties calculated at the SCAN level.

Uncorrected energy: -73.337 eV for the cell shown
Space group: No. 216
ΔH_f (0 K): 0.1559 eV/atom

extended XYZ file:
```
3
Lattice="0.000 2.935 2.935 2.935 0.000 2.935 2.935 2.935 0.000" Properties=species:S:1:pos:R:3 pbc="T T T"
Mg 0.000 0.000 0.000
Tc 2.935 2.935 2.935
Rh 1.468 1.468 1.468
```


[17]
Below is MgTcRh2 at its PBEsol-relaxed geometry, with properties calculated at the SCAN level.

Uncorrected energy: -108.841 eV for the cell shown
Space group: No. 123
ΔH_f (0 K): -0.3161 eV/atom

extended XYZ file:
```
4
Lattice="2.778 0.000 0.000 0.000 2.778 0.000 0.000 0.000 7.383" Properties=species:S:1:pos:R:3 pbc="T T T"
Mg 0.000 0.000 0.000
Tc 0.000 0.000 3.691
Rh 1.389 1.389 1.938
Rh 1.389 1.389 5.445
```


[18]
Below is Mg4TcRh at its PBEsol-relaxed geometry, with properties calculated at the SCAN level.

Uncorrected energy: -85.922 eV for the cell shown
Space group: No. 216
ΔH_f (0 K): 0.4674 eV/atom

extended XYZ file:
```
6
Lattice="0.000 3.702 3.702 3.702 0.000 3.702 3.702 3.702 0.000" Properties=species:S:1:pos:R:3 pbc="T T T"
Mg 0.923 0.923 0.923
Mg 2.778 2.778 0.923
Mg 2.778 0.923 2.778
Mg 0.923 2.778 2.778
Tc 5.552 5.552 5.552
Rh 3.702 3.702 3.702
```


[19]
Below is Mg2TcRh at its PBEsol-relaxed geometry, with properties calculated at the SCAN level.

Uncorrected energy: -78.850 eV for the cell shown
Space group: No. 12
ΔH_f (0 K): -0.0177 eV/atom

extended XYZ file:
```
4
Lattice="2.698 -4.383 0.000 2.698 4.383 0.000 -0.936 0.000 2.569" Properties=species:S:1:pos:R:3 pbc="T T T"
Mg 1.349 2.192 0.000
Mg 1.349 -2.192 0.000
Tc -0.468 0.000 1.285
Rh 2.230 0.000 1.285
```


[20]
Below is MgTc2Rh at its PBEsol-relaxed geometry, with properties calculated at the SCAN level.

Uncorrected energy: -108.701 eV for the cell shown
Space group: No. 10
ΔH_f (0 K): 0.0410 eV/atom

extended XYZ file:
```
4
Lattice="2.715 0.000 0.000 0.000 4.244 0.000 -0.009 0.000 4.979" Properties=species:S:1:pos:R:3 pbc="T T T"
Mg 0.000 0.000 0.000
Tc 1.356 2.122 1.181
Tc 1.350 2.122 3.798
Rh -0.004 0.000 2.489
```


[21]
Below is MgTc2Rh at its PBEsol-relaxed geometry, with properties calculated at the SCAN level.

Uncorrected energy: -108.728 eV for the cell shown
Space group: No. 123
ΔH_f (0 K): 0.0343 eV/atom

extended XYZ file:
```
4
Lattice="3.592 0.000 0.000 0.000 3.592 0.000 0.000 0.000 4.443" Properties=species:S:1:pos:R:3 pbc="T T T"
Mg 0.000 0.000 0.000
Tc 0.000 1.796 2.222
Tc 1.796 0.000 2.222
Rh 1.796 1.796 0.000
```


[22]
Below is MgTcRh2 at its PBEsol-relaxed geometry, with properties calculated at the SCAN level.

Uncorrected energy: -107.913 eV for the cell shown
Space group: No. 119
ΔH_f (0 K): -0.0841 eV/atom

extended XYZ file:
```
4
Lattice="-1.865 1.865 4.056 1.865 -1.865 4.056 1.865 1.865 -4.056" Properties=species:S:1:pos:R:3 pbc="T T T"
Mg 0.000 0.000 0.000
Tc 1.865 0.000 2.028
Rh 0.000 0.000 4.056
Rh 0.000 1.865 2.028
```


[23]
Below is MgTe4Rh at its PBEsol-relaxed geometry, with properties calculated at the SCAN level.

Uncorrected energy: -183.004 eV for the cell shown
Space group: No. 216
Formation energy without anion corrections: 0.791 eV/atom

extended XYZ file:
```
6
Lattice="0.000 4.324 4.324 4.324 0.000 4.324 4.324 4.324 0.000" Properties=species:S:1:pos:R:3 pbc="T T T"
Mg 0.000 0.000 0.000
Te 3.248 3.248 3.248
Te 5.399 5.399 3.248
Te 5.399 3.248 5.399
Te 3.248 5.399 5.399
Rh 6.486 6.486 6.486
```


[24]
Below is MgTeRh2 at its PBEsol-relaxed geometry, with properties calculated at the SCAN level.

Uncorrected energy: -111.564 eV for the cell shown
Space group: No. 123
Formation energy without anion corrections: -0.449 eV/atom

extended XYZ file:
```
4
Lattice="4.237 0.000 0.000 0.000 4.237 0.000 0.000 0.000 3.545" Properties=species:S:1:pos:R:3 pbc="T T T"
Mg 0.000 0.000 0.000
Te 2.118 2.118 0.000
Rh 0.000 2.118 1.772
Rh 2.118 0.000 1.772
```


[25]
Below is MgTe2Rh at its PBEsol-relaxed geometry, with properties calculated at the SCAN level.

Uncorrected energy: -115.170 eV for the cell shown
Space group: No. 166
Formation energy without anion corrections: -0.481 eV/atom

extended XYZ file:
```
4
Lattice="2.007 1.159 6.485 -2.007 1.159 6.485 0.000 -2.318 6.485" Properties=species:S:1:pos:R:3 pbc="T T T"
Mg 0.000 0.000 0.000
Te 0.000 0.000 4.608
Te 0.000 0.000 14.847
Rh 0.000 0.000 9.727
```


[26]
Below is MgTeRh2 at its PBEsol-relaxed geometry, with properties calculated at the SCAN level.

Uncorrected energy: -111.466 eV for the cell shown
Space group: No. 8
Formation energy without anion corrections: -0.424 eV/atom

extended XYZ file:
```
4
Lattice="4.662 -1.647 0.000 4.662 1.647 0.000 -1.132 0.000 4.231" Properties=species:S:1:pos:R:3 pbc="T T T"
Mg 0.000 0.000 0.000
Te 6.683 0.000 1.599
Rh 1.445 0.000 3.725
Rh 4.036 0.000 2.102
```


[27]
Below is MgTe2Rh at its PBEsol-relaxed geometry, with properties calculated at the SCAN level.

Uncorrected energy: -229.607 eV for the cell shown
Space group: No. 122
Formation energy without anion corrections: -0.389 eV/atom

extended XYZ file:
```
8
Lattice="-3.017 3.017 6.390 3.017 -3.017 6.390 3.017 3.017 -6.390" Properties=species:S:1:pos:R:3 pbc="T T T"
Mg 0.000 0.000 0.000
Mg 0.000 3.017 3.195
Te 1.508 -1.267 4.792
Te 1.750 1.508 1.597
Te 1.508 4.284 -1.597
Te 1.267 1.508 7.987
Rh 3.017 0.000 3.195
Rh 0.000 0.000 6.390
```


[28]
Below is MgTe2Rh at its PBEsol-relaxed geometry, with properties calculated at the SCAN level.

Uncorrected energy: -112.527 eV for the cell shown
Space group: No. 166
Formation energy without anion corrections: 0.180 eV/atom

extended XYZ file:
```
4
Lattice="1.778 1.027 8.898 -1.778 1.027 8.898 0.000 -2.053 8.898" Properties=species:S:1:pos:R:3 pbc="T T T"
Mg 0.000 0.000 0.000
Te 0.000 0.000 10.871
Te 0.000 0.000 15.824
Rh 0.000 0.000 13.347
```


[29]
Below is MgTeRh2 at its PBEsol-relaxed geometry, with properties calculated at the SCAN level.

Uncorrected energy: -111.279 eV for the cell shown
Space group: No. 225
Formation energy without anion corrections: -0.378 eV/atom

extended XYZ file:
```
4
Lattice="0.000 3.168 3.168 3.168 0.000 3.168 3.168 3.168 0.000" Properties=species:S:1:pos:R:3 pbc="T T T"
Mg 0.000 0.000 0.000
Te 3.168 3.168 3.168
Rh 1.584 1.584 1.584
Rh 4.752 4.752 4.752
```


These records have mass density values of 3.44, 3.95, 4.71, 5.13, 12.42, 11.30, 11.12, 11.87, 12.36, 11.18, 8.16, 9.61, 9.44, 8.38, 6.74, 7.39, 9.56, 4.88, 6.82, 9.35, 9.36, 9.65, 6.55, 9.34, 7.01, 9.14, 5.46, 6.51, 9.34 g/cm3, in the order they appear.